[1]
VASP calculation (GGA-PBE) on crystalline SmHoAgRu at its relaxed geometry.

POSCAR file:
```
SmHoAgRu
1.0
3.4437 0.0000 0.0000
0.0000 3.4437 0.0000
0.0000 0.0000 7.5828
Sm Ho Ag Ru
1 1 1 1
Cartesian
0.0000 0.0000 0.0000 Sm
0.0000 0.0000 4.2060 Ho
1.7218 1.7218 2.2023 Ag
1.7218 1.7218 5.8340 Ru
```

Results
DFT formation energy, eV per formula unit: -1.5
DOS(E_F), states/eV/cell: 2.51
Offset from the most stable computed form, kJ/mol of atoms: 0.00

[2]
VASP calculation (GGA-PBE) on crystalline Ho4Tl5Pb at its relaxed geometry.

POSCAR file:
```
Ho4Tl5Pb
1.0
8.7112 -2.4499 0.0000
8.7112 2.4499 0.0000
-1.8625 0.0000 6.4019
Ho Tl Pb
4 5 1
Cartesian
0.8686 0.0000 2.0952 Ho
3.5963 0.0000 5.6451 Ho
11.9637 0.0000 0.7568 Ho
14.6914 0.0000 4.3067 Ho
0.3556 0.0000 5.3228 Tl
4.4179 0.0000 2.5236 Tl
7.7800 0.0000 3.2010 Tl
11.1421 0.0000 3.8783 Tl
15.2044 0.0000 1.0791 Tl
8.7112 0.0000 0.0000 Pb
```

Results
DFT formation energy, eV per formula unit: -2.9
DOS(E_F), states/eV/cell: 6.04

[3]
VASP calculation (GGA-PBE) on crystalline LaAs2Pb at its relaxed geometry.

POSCAR file:
```
LaAs2Pb
1.0
-3.3731 3.3731 6.6533
3.3731 -3.3731 6.6533
3.3731 3.3731 -6.6533
La As Pb
2 4 2
Cartesian
0.0000 0.0000 0.0000 La
0.0000 3.3731 3.3267 La
1.6865 -1.6100 4.9900 As
1.7631 1.6865 1.6633 As
1.6865 4.9831 -1.6633 As
1.6100 1.6865 8.3167 As
3.3731 0.0000 3.3267 Pb
0.0000 0.0000 6.6533 Pb
```

Results
DFT formation energy, eV per formula unit: -1.7
DOS(E_F), states/eV/cell: 4.45
Offset from the most stable computed form, kJ/mol of atoms: 26.98

[4]
VASP calculation (GGA-PBE) on crystalline BaSbSe2 at its relaxed geometry.

POSCAR file:
```
BaSbSe2
1.0
3.9737 -2.4599 0.0000
3.9737 2.4599 0.0000
-2.6100 0.0000 6.5209
Ba Sb Se
1 1 2
Cartesian
0.0000 0.0000 0.0000 Ba
2.6687 0.0000 3.2604 Sb
0.1051 0.0000 4.6540 Se
5.2323 0.0000 1.8669 Se
```

Results
DOS(E_F), states/eV/cell: 2.08
Formation energy without anion corrections, eV/atom: -0.909

[5]
VASP calculation (GGA-PBE) on crystalline Cs2LiBi at its relaxed geometry.

POSCAR file:
```
Cs2LiBi
1.0
-2.6960 2.6960 12.9505
2.6960 -2.6960 12.9505
2.6960 2.6960 -12.9505
Cs Li Bi
4 2 2
Cartesian
4.0441 1.3046 -3.2376 Cs
1.3046 1.3480 3.2376 Cs
-1.3480 1.3915 9.7129 Cs
1.3915 1.3480 16.1881 Cs
0.0000 0.0000 0.0000 Li
0.0000 2.6960 6.4753 Li
2.6960 0.0000 6.4753 Bi
0.0000 0.0000 12.9505 Bi
```

Results
DFT formation energy, eV per formula unit: 0.3
DOS(E_F), states/eV/cell: 1.66
Offset from the most stable computed form, kJ/mol of atoms: 47.34

[6]
VASP calculation (GGA-PBE) on crystalline Sm4MgAl2Zn at its relaxed geometry.

POSCAR file:
```
Sm4MgAl2Zn
1.0
2.6242 1.5151 8.5666
-2.6242 1.5151 8.5666
0.0000 -3.0301 8.5666
Sm Mg Al Zn
4 1 2 1
Cartesian
0.0000 0.0000 3.0891 Sm
0.0000 0.0000 9.5219 Sm
0.0000 0.0000 16.1777 Sm
0.0000 0.0000 22.6106 Sm
0.0000 0.0000 12.8498 Mg
0.0000 0.0000 6.3117 Al
0.0000 0.0000 19.3879 Al
0.0000 0.0000 0.0000 Zn
```

Results
DFT formation energy, eV per formula unit: -2.5
DOS(E_F), states/eV/cell: 6.48

- Which formula does entry 3 have?
  LaAs2Pb

- Look up the DOS(E_F) of the sixth one.
  6.48 states/eV/cell

- What is the formula in the fourth record?
  BaSbSe2